[1]
4
Lattice="0.0000 3.0743 3.0743 3.0743 0.0000 3.0743 3.0743 3.0743 0.0000" Properties=species:S:1:pos:R:3 comment="FeReSe2, relaxed, DFT GGA-PBE" spacegroup=Fm-3m relative_energy_ev_per_atom=0.585 magnetic_moment_mub_per_fu=0.000 e_form_raw_ev_per_fu=2.081 e_tot_ev_per_atom=-6.450 pbc="T T T"
Fe 0.0000 0.0000 0.0000
Re 3.0743 3.0743 3.0743
Se 1.5371 1.5371 1.5371
Se 4.6114 4.6114 4.6114


[2]
4
Lattice="-1.7520 1.8958 6.6148 1.7520 -1.8958 6.6148 1.7520 1.8958 -6.6148" Properties=species:S:1:pos:R:3 comment="FeReSe2, relaxed, DFT GGA-PBE" spacegroup=Immm relative_energy_ev_per_atom=0.184 magnetic_moment_mub_per_fu=2.993 e_form_raw_ev_per_fu=0.475 e_tot_ev_per_atom=-6.851 pbc="T T T"
Fe 0.0000 0.0000 0.0000
Re 0.0000 0.0000 6.6148
Se 1.7520 0.0000 1.7258
Se 0.0000 1.8958 4.8890


[3]
4
Lattice="1.5127 -2.7782 0.0000 1.5127 2.7782 0.0000 0.0000 0.0000 8.0439" Properties=species:S:1:pos:R:3 comment="FeReSe2, relaxed, DFT GGA-PBE" spacegroup=Cmmm relative_energy_ev_per_atom=0.792 magnetic_moment_mub_per_fu=3.070 e_form_raw_ev_per_fu=2.910 e_tot_ev_per_atom=-6.242 pbc="T T T"
Fe 0.0000 0.0000 0.0000
Re 0.0000 0.0000 4.0220
Se 1.5127 0.0000 1.9891
Se 1.5127 0.0000 6.0549


[4]
4
Lattice="1.5238 0.8798 9.6202 -1.5238 0.8798 9.6202 0.0000 -1.7596 9.6202" Properties=species:S:1:pos:R:3 comment="FeReSe2, relaxed, DFT GGA-PBE" spacegroup=R3m relative_energy_ev_per_atom=0.147 magnetic_moment_mub_per_fu=2.424 e_form_raw_ev_per_fu=0.328 e_tot_ev_per_atom=-6.888 pbc="T T T"
Fe 0.0000 0.0000 0.0000
Re 0.0000 0.0000 21.3907
Se 0.0000 0.0000 8.0000
Se 0.0000 0.0000 13.5046


[5]
4
Lattice="3.9010 -1.5532 0.0000 3.9010 1.5532 0.0000 -1.0767 0.0000 5.2373" Properties=species:S:1:pos:R:3 comment="FeReSe2, relaxed, DFT GGA-PBE" spacegroup=C2/m relative_energy_ev_per_atom=0.466 magnetic_moment_mub_per_fu=2.658 e_form_raw_ev_per_fu=1.606 e_tot_ev_per_atom=-6.569 pbc="T T T"
Fe 0.0000 0.0000 0.0000
Re 3.3626 0.0000 2.6186
Se 1.0649 0.0000 3.9016
Se 5.6604 0.0000 1.3357


[6]
8
Lattice="-2.7193 2.7193 5.3773 2.7193 -2.7193 5.3773 2.7193 2.7193 -5.3773" Properties=species:S:1:pos:R:3 comment="FeReSe2, relaxed, DFT GGA-PBE" spacegroup=I-42d relative_energy_ev_per_atom=0.471 magnetic_moment_mub_per_fu=0.500 e_form_raw_ev_per_fu=1.626 e_tot_ev_per_atom=-6.563 pbc="T T T"
Fe 0.0000 0.0000 0.0000
Fe 0.0000 2.7193 2.6887
Re 2.7193 0.0000 2.6887
Re 0.0000 0.0000 5.3773
Se 4.0789 1.2624 -1.3443
Se 1.2624 1.3596 1.3443
Se -1.3596 1.4569 4.0330
Se 1.4569 1.3596 6.7217


[7]
5
Lattice="4.4543 0.0000 0.0000 0.0000 4.4543 0.0000 0.0000 0.0000 4.4543" Properties=species:S:1:pos:R:3 comment="FeRe3Se, relaxed, DFT GGA-PBE" spacegroup=Pm-3m magnetic_moment_mub_per_fu=0.000 e_form_raw_ev_per_fu=8.802 e_tot_ev_per_atom=-8.098 pbc="T T T"
Fe 0.0000 0.0000 0.0000
Re 0.0000 0.0000 2.2272
Re 0.0000 2.2272 0.0000
Re 2.2272 0.0000 0.0000
Se 2.2272 2.2272 2.2272


[8]
4
Lattice="3.7226 0.0000 0.0000 0.0000 3.7269 0.0000 -0.0228 0.0000 6.2904" Properties=species:S:1:pos:R:3 comment="FeReSe2, relaxed, DFT GGA-PBE" spacegroup=Pm relative_energy_ev_per_atom=0.000 magnetic_moment_mub_per_fu=1.574 e_form_raw_ev_per_fu=-0.259 e_tot_ev_per_atom=-7.035 pbc="T T T"
Fe 0.0000 0.0000 0.0000
Re 1.8614 1.8634 0.0047
Se 1.8616 0.0000 1.6070
Se 3.6997 1.8634 4.6900